Entry 1:
Compound: Al2Sn2F
Source: Alexandria
Functional: PBE
Structure: relaxed

symmetry = P4/mbm
energy above the lowest structure with this stoichiometry = 0 meV per atom
energy relative to the elements, uncorrected = -49.4 kJ per mole of atoms

a = 6.074 Å, b = 6.074 Å, c = 5.470 Å
α = 90.00°, β = 90.00°, γ = 90.00°
Positions (direct):
Al: 0.159 0.341 0.000
Al: 0.341 0.841 0.000
Al: 0.659 0.159 0.000
Al: 0.841 0.659 0.000
Sn: 0.248 0.252 0.500
Sn: 0.252 0.752 0.500
Sn: 0.748 0.248 0.500
Sn: 0.752 0.748 0.500
F: 0.000 0.000 0.000
F: 0.500 0.500 0.000

Entry 2:
Compound: AlSnF2
Source: Alexandria
Functional: PBE
Structure: relaxed

symmetry = R-3m
energy above the lowest structure with this stoichiometry = 0 meV per atom
energy relative to the elements, uncorrected = -157.6 kJ per mole of atoms

a = 7.977 Å, b = 7.977 Å, c = 7.977 Å
α = 21.68°, β = 21.68°, γ = 21.68°
Positions (direct):
Al: 0.000 0.000 0.000
Sn: 0.500 0.500 0.500
F: 0.078 0.078 0.078
F: 0.922 0.922 0.922

> Number 1 is which compound?

Al2Sn2F

> Which formula does entry 2 have?

AlSnF2

What did the first record say?
Compound: Al2Sn2F
Source: Alexandria
Functional: PBE
Structure: relaxed

symmetry = P4/mbm
energy above the lowest structure with this stoichiometry = 0 meV per atom
energy relative to the elements, uncorrected = -49.4 kJ per mole of atoms

a = 6.074 Å, b = 6.074 Å, c = 5.470 Å
α = 90.00°, β = 90.00°, γ = 90.00°
Positions (direct):
Al: 0.159 0.341 0.000
Al: 0.341 0.841 0.000
Al: 0.659 0.159 0.000
Al: 0.841 0.659 0.000
Sn: 0.248 0.252 0.500
Sn: 0.252 0.752 0.500
Sn: 0.748 0.248 0.500
Sn: 0.752 0.748 0.500
F: 0.000 0.000 0.000
F: 0.500 0.500 0.000